No. 1
Material: KRb6Cd6
Method: DFT, PBE
State: relaxed

Results
formation energy from the elements	0.04	eV per atom
ρ	3.3	g/cm3

Cell and atoms, written as extended XYZ:
```
13
Lattice="-3.624 6.493 6.504 3.624 -6.493 6.504 3.624 6.493 -6.504" Properties=species:S:1:pos:R:3 pbc="T T T"
K 0.000 0.000 0.000
Rb 3.624 0.000 2.251
Rb 0.000 4.120 0.000
Rb 0.000 0.000 4.438
Rb 0.000 0.000 8.569
Rb 0.000 8.866 0.000
Rb 0.000 6.493 4.252
Cd 1.812 3.247 -3.252
Cd 1.812 -3.247 3.252
Cd 3.624 3.098 0.000
Cd -1.812 3.247 3.252
Cd 1.812 3.247 3.252
Cd 0.000 3.395 6.504
```



No. 2
Material: RbBi2Te2
Method: DFT, PBE
State: relaxed

Results
formation energy without anion corrections	-215.9	meV/atom
ρ	6.6	g/cm3

Cell and atoms, written as extended XYZ:
```
10
Lattice="9.590 0.000 0.000 0.000 9.590 0.000 0.000 0.000 4.150" Properties=species:S:1:pos:R:3 pbc="T T T"
Rb 0.000 0.000 0.000
Rb 4.795 4.795 0.000
Bi 1.776 3.019 2.075
Bi 3.019 7.814 2.075
Bi 6.571 1.776 2.075
Bi 7.814 6.571 2.075
Te 1.502 6.297 0.000
Te 3.292 1.502 0.000
Te 6.297 8.087 0.000
Te 8.087 3.292 0.000
```



No. 3
Material: BeSbTe2Os
Method: DFT, PBE
State: relaxed

Results
formation energy without anion corrections	1149.9	meV/atom
ρ	6.6	g/cm3

Cell and atoms, written as extended XYZ:
```
5
Lattice="5.365 0.000 0.000 0.000 5.365 0.000 0.000 0.000 5.004" Properties=species:S:1:pos:R:3 pbc="T T T"
Be 0.000 0.000 0.000
Sb 2.683 2.683 0.000
Te 0.000 2.683 2.502
Te 2.683 0.000 2.502
Os 2.683 2.683 2.502
```